# NiSbPtRh PBE-GGA relaxed
# - ΔE_f (raw): -147 meV per atom
# - Space-group type: No. 216
# - Spin magnetization: 0.00 μB/f.u.
# - Total energy: -5.971 eV per atom
data_NiSbPtRh
_chemical_formula_sum 'Ni1 Sb1 Pt1 Rh1'
_space_group_name_H-M_alt 'P 1'
_space_group_IT_number 1
_cell_length_a 4.436
_cell_length_b 4.436
_cell_length_c 4.436
_cell_angle_alpha 60.00
_cell_angle_beta 60.00
_cell_angle_gamma 60.00
loop_
_space_group_symop_operation_xyz
'x,y,z'
loop_
_atom_site_label
_atom_site_type_symbol
_atom_site_fract_x
_atom_site_fract_y
_atom_site_fract_z
Sb1 Sb 0.000 0.000 0.000
Pt1 Pt 0.750 0.750 0.750
Ni1 Ni 0.500 0.500 0.500
Rh1 Rh 0.250 0.250 0.250